Arrangement i

! LiCuPt2, single point on PBEsol structure, DFT meta-GGA SCAN; values from VASP
&SYSTEM
  ibrav = 0, nat = 4, ntyp = 3
/
ATOMIC_SPECIES
Pt 195.08 Pt.upf
Cu 63.55 Cu.upf
Li 6.94 Li.upf
CELL_PARAMETERS angstrom
2.6934 0.0000 0.0000
1.3467 2.3326 0.0000
1.3467 0.7775 8.5753
ATOMIC_POSITIONS angstrom
Pt 1.3467 0.7775 2.1509
Pt 4.0401 2.3326 6.4251
Cu 2.6934 1.5550 4.2877
Li 0.0000 0.0000 0.0000
! Crystal system ... trigonal
! Density of states at the Fermi level ... 2.1 states/eV per cell
! SG ... R-3m, No. 166

***

Arrangement ii

! LiCuPt2, single point on PBEsol structure, DFT meta-GGA SCAN; values from VASP
&SYSTEM
  ibrav = 0, nat = 4, ntyp = 3
/
ATOMIC_SPECIES
Pt 195.08 Pt.upf
Cu 63.55 Cu.upf
Li 6.94 Li.upf
CELL_PARAMETERS angstrom
3.8306 0.0000 0.0000
0.0000 3.8306 0.0000
-1.9153 -1.9153 3.5859
ATOMIC_POSITIONS angstrom
Pt 1.9153 0.0000 1.7929
Pt 0.0000 1.9153 1.7929
Cu 1.9153 1.9153 0.0000
Li 0.0000 0.0000 0.0000
! Crystal system ... tetragonal
! Density of states at the Fermi level ... 3.4 states/eV per cell
! SG ... I4/mmm, No. 139

***

The data favor arrangement i; the next most stable structure lies 0.062 eV/atom above it.

***

Arrangement i

! LiCuPt2, single point on PBEsol structure, DFT meta-GGA SCAN; values from VASP
&SYSTEM
  ibrav = 0, nat = 4, ntyp = 3
/
ATOMIC_SPECIES
Pt 195.08 Pt.upf
Cu 63.55 Cu.upf
Li 6.94 Li.upf
CELL_PARAMETERS angstrom
-1.8830 -0.5626 1.8600
2.2592 -3.6655 1.1783
2.7816 3.2976 1.8452
ATOMIC_POSITIONS angstrom
Pt 0.8974 2.6899 3.6904
Pt 2.5932 -1.2124 2.2585
Cu 0.2167 -2.1011 1.5521
Li 0.5372 0.3138 2.6070
! Crystal system ... monoclinic
! Density of states at the Fermi level ... 3.0 states/eV per cell
! SG ... Cm, No. 8

***

Arrangement ii

! LiCuPt2, single point on PBEsol structure, DFT meta-GGA SCAN; values from VASP
&SYSTEM
  ibrav = 0, nat = 4, ntyp = 3
/
ATOMIC_SPECIES
Cu 63.55 Cu.upf
Li 6.94 Li.upf
Pt 195.08 Pt.upf
CELL_PARAMETERS angstrom
2.9422 0.0000 0.0000
0.0000 2.9422 0.0000
0.0000 0.0000 5.8924
ATOMIC_POSITIONS angstrom
Cu 1.4711 1.4711 0.0000
Li 1.4711 1.4711 2.9462
Pt 0.0000 0.0000 4.3761
Pt 0.0000 0.0000 1.5163
! Crystal system ... tetragonal
! Density of states at the Fermi level ... 2.6 states/eV per cell
! SG ... P4/mmm, No. 123

***

Arrangement iii

! LiCuPt2, single point on PBEsol structure, DFT meta-GGA SCAN; values from VASP
&SYSTEM
  ibrav = 0, nat = 4, ntyp = 3
/
ATOMIC_SPECIES
Pt 195.08 Pt.upf
Cu 63.55 Cu.upf
Li 6.94 Li.upf
CELL_PARAMETERS angstrom
3.6129 0.0000 0.0000
0.0000 3.8147 0.0000
0.0000 0.0000 3.8147
ATOMIC_POSITIONS angstrom
Pt 0.0000 0.0000 1.9073
Pt 0.0000 1.9073 0.0000
Cu 1.8064 1.9073 1.9073
Li 1.8064 0.0000 0.0000
! Crystal system ... tetragonal
! Density of states at the Fermi level ... 3.9 states/eV per cell
! SG ... P4/mmm, No. 123

***

Arrangement iv

! LiCuPt2, single point on PBEsol structure, DFT meta-GGA SCAN; values from VASP
&SYSTEM
  ibrav = 0, nat = 4, ntyp = 3
/
ATOMIC_SPECIES
Pt 195.08 Pt.upf
Cu 63.55 Cu.upf
Li 6.94 Li.upf
CELL_PARAMETERS angstrom
-3.0862 1.6934 2.2388
-2.5460 -2.4434 2.2254
0.2104 0.0139 4.1666
ATOMIC_POSITIONS angstrom
Pt -4.0664 -0.5521 6.4731
Pt -1.3555 -0.1840 2.1577
Cu 0.0000 0.0000 0.0000
Li -2.7109 -0.3680 4.3154
! Crystal system ... cubic
! Density of states at the Fermi level ... 2.8 states/eV per cell
! SG ... Fm-3m, No. 225

***

The data favor arrangement iii; the next most stable structure lies 0.056 eV/atom above it.

***

Arrangement i

! LiCuPt2, single point on PBEsol structure, DFT meta-GGA SCAN; values from VASP
&SYSTEM
  ibrav = 0, nat = 4, ntyp = 3
/
ATOMIC_SPECIES
Pt 195.08 Pt.upf
Cu 63.55 Cu.upf
Li 6.94 Li.upf
CELL_PARAMETERS angstrom
-1.0924 -1.1890 -2.2389
1.2097 -4.1049 1.5897
-3.8647 2.3131 2.3589
ATOMIC_POSITIONS angstrom
Pt -1.8630 -2.8155 0.7025
Pt -1.8845 -0.1653 1.0072
Cu -0.5462 -0.5945 -1.1195
Li 0.6048 -2.0524 0.7948
! Crystal system ... orthorhombic
! Density of states at the Fermi level ... 1.2 states/eV per cell
! SG ... Immm, No. 71

***

Arrangement ii

! LiCuPt2, single point on PBEsol structure, DFT meta-GGA SCAN; values from VASP
&SYSTEM
  ibrav = 0, nat = 4, ntyp = 3
/
ATOMIC_SPECIES
Pt 195.08 Pt.upf
Cu 63.55 Cu.upf
Li 6.94 Li.upf
CELL_PARAMETERS angstrom
-1.6648 -1.4620 1.4939
-0.1073 -3.1257 -3.5568
4.2324 0.2319 2.7425
ATOMIC_POSITIONS angstrom
Pt 2.1162 0.1159 1.3713
Pt 1.2301 -2.1779 0.3398
Cu -0.8324 -0.7310 0.7470
Li -0.0537 -1.5629 -1.7784
! Crystal system ... monoclinic
! Density of states at the Fermi level ... 1.4 states/eV per cell
! SG ... C2/m, No. 12

***

The data favor arrangement ii; the next most stable structure lies 0.039 eV/atom above it.

***

Arrangement i

! Li2CuRe, single point on PBEsol structure, DFT meta-GGA SCAN; values from VASP
&SYSTEM
  ibrav = 0, nat = 4, ntyp = 3
/
ATOMIC_SPECIES
Cu 63.55 Cu.upf
Li 6.94 Li.upf
Re 186.21 Re.upf
CELL_PARAMETERS angstrom
-0.8721 -1.5358 1.7162
-2.4445 -1.7644 -2.8211
3.8385 -3.4707 -1.1555
ATOMIC_POSITIONS angstrom
Cu 1.0874 -4.1328 -1.3790
Li 0.0502 -0.0453 -0.0151
Li -0.7248 -2.4941 -0.8334
Re 2.0283 -1.8340 -0.6106
! Crystal system ... orthorhombic
! Density of states at the Fermi level ... 1.7 states/eV per cell
! SG ... Pmm2, No. 25

***

Arrangement ii

! Li2CuRe, single point on PBEsol structure, DFT meta-GGA SCAN; values from VASP
&SYSTEM
  ibrav = 0, nat = 4, ntyp = 3
/
ATOMIC_SPECIES
Cu 63.55 Cu.upf
Li 6.94 Li.upf
Re 186.21 Re.upf
CELL_PARAMETERS angstrom
-3.3350 -0.4790 2.3015
-3.6210 -0.6487 -1.7652
-1.7783 -3.6618 0.2779
ATOMIC_POSITIONS angstrom
Cu 0.0000 0.0000 0.0000
Li -2.1836 -1.1974 0.2035
Li -6.5508 -3.5922 0.6106
Re -4.3672 -2.3948 0.4071
! Crystal system ... cubic
! Density of states at the Fermi level ... 1.7 states/eV per cell
! SG ... Fm-3m, No. 225

***

The data favor arrangement i; the next most stable structure lies 0.545 eV/atom above it.

***

Arrangement i

! Li2CuRu, single point on PBEsol structure, DFT meta-GGA SCAN; values from VASP
&SYSTEM
  ibrav = 0, nat = 4, ntyp = 3
/
ATOMIC_SPECIES
Cu 63.55 Cu.upf
Li 6.94 Li.upf
Ru 101.07 Ru.upf
CELL_PARAMETERS angstrom
2.4801 0.0000 0.0000
0.0000 4.4415 0.0000
-1.2401 -2.2208 4.4721
ATOMIC_POSITIONS angstrom
Cu 0.0000 2.2208 2.2911
Li 1.2401 2.2208 4.4024
Li 1.2401 0.0000 2.1749
Ru 1.2401 2.2208 0.0757
! Crystal system ... orthorhombic
! Density of states at the Fermi level ... 1.8 states/eV per cell
! SG ... Imm2, No. 44

***

Arrangement ii

! Li2CuRu, single point on PBEsol structure, DFT meta-GGA SCAN; values from VASP
&SYSTEM
  ibrav = 0, nat = 4, ntyp = 3
/
ATOMIC_SPECIES
Cu 63.55 Cu.upf
Li 6.94 Li.upf
Ru 101.07 Ru.upf
CELL_PARAMETERS angstrom
-2.2655 -0.0703 0.8584
-0.1781 -4.0584 -0.8024
1.8055 -1.0051 4.6827
ATOMIC_POSITIONS angstrom
Cu 0.0815 -2.7898 3.4082
Li 0.0113 -0.0063 0.0293
Li -0.7675 -2.3172 1.2063
Ru 0.9394 -0.5229 2.4364
! Crystal system ... orthorhombic
! Density of states at the Fermi level ... 1.7 states/eV per cell
! SG ... Pmm2, No. 25

***

The data favor arrangement ii; the next most stable structure lies 0.068 eV/atom above it.

***

Arrangement i

! Li2CuRu, single point on PBEsol structure, DFT meta-GGA SCAN; values from VASP
&SYSTEM
  ibrav = 0, nat = 4, ntyp = 3
/
ATOMIC_SPECIES
Ru 101.07 Ru.upf
Cu 63.55 Cu.upf
Li 6.94 Li.upf
CELL_PARAMETERS angstrom
2.4551 0.0000 0.0000
-1.2275 4.4606 -0.0116
0.0000 -0.7638 4.5416
ATOMIC_POSITIONS angstrom
Ru 0.0000 -0.3819 2.2708
Cu 1.2275 0.0000 0.0000
Li 1.2275 1.7094 3.3727
Li 0.0000 1.9875 1.1573
! Crystal system ... monoclinic
! Density of states at the Fermi level ... 0.8 states/eV per cell
! SG ... C2/m, No. 12

***

Arrangement ii

! Li2CuRu, single point on PBEsol structure, DFT meta-GGA SCAN; values from VASP
&SYSTEM
  ibrav = 0, nat = 4, ntyp = 3
/
ATOMIC_SPECIES
Ru 101.07 Ru.upf
Cu 63.55 Cu.upf
Li 6.94 Li.upf
CELL_PARAMETERS angstrom
2.4273 0.0000 0.0038
0.0000 4.3827 0.0000
-0.2236 0.0000 4.6736
ATOMIC_POSITIONS angstrom
Ru 1.2136 2.1914 0.0019
Cu -0.1118 2.1914 2.3368
Li 1.8054 0.0000 3.5550
Li 0.3983 0.0000 1.1223
! Crystal system ... monoclinic
! Density of states at the Fermi level ... 1.1 states/eV per cell
! SG ... P2/m, No. 10

***

The data favor arrangement i; the next most stable structure lies 0.008 eV/atom above it.